1.
Below is TaSiI2N after structural relaxation, with properties calculated at the PBE level.

Output
The formation energy without anion corrections comes out at 521 meV/atom.

Cell and atoms, written as CIF:
```
data_TaSiI2N
_chemical_formula_sum 'Ta1 Si1 I2 N1'
_symmetry_space_group_name_H-M 'P 4/m m m'
_symmetry_Int_Tables_number 123
_symmetry_space_group_name_Hall '-P 4 2'
_cell_length_a 5.667
_cell_length_b 5.667
_cell_length_c 3.909
_cell_angle_alpha 90.00
_cell_angle_beta 90.00
_cell_angle_gamma 90.00
loop_
_atom_site_label
_atom_site_type_symbol
_atom_site_fract_x
_atom_site_fract_y
_atom_site_fract_z
Ta1 Ta 0.000 0.000 0.000
Si1 Si 0.500 0.500 0.500
I1 I 0.000 0.500 0.000
N1 N 0.000 0.000 0.500
```


2.
Below is TaSiIN2 after structural relaxation, with properties calculated at the PBE level.

Output
The formation energy without anion corrections comes out at 1467 meV/atom.

Cell and atoms, written as CIF:
```
data_TaSiIN2
_chemical_formula_sum 'Ta1 Si1 I1 N2'
_symmetry_space_group_name_H-M 'P 4/m m m'
_symmetry_Int_Tables_number 123
_symmetry_space_group_name_Hall '-P 4 2'
_cell_length_a 3.809
_cell_length_b 3.809
_cell_length_c 5.163
_cell_angle_alpha 90.00
_cell_angle_beta 90.00
_cell_angle_gamma 90.00
loop_
_atom_site_label
_atom_site_type_symbol
_atom_site_fract_x
_atom_site_fract_y
_atom_site_fract_z
Ta1 Ta 0.000 0.000 0.000
Si1 Si 0.500 0.500 0.500
I1 I 0.500 0.500 0.000
N1 N 0.000 0.500 0.500
```


3.
Below is SiTcI2N after structural relaxation, with properties calculated at the PBE level.

Output
The formation energy without anion corrections comes out at 665 meV/atom.

Cell and atoms, written as CIF:
```
data_SiTcI2N
_chemical_formula_sum 'Si1 Tc1 I2 N1'
_symmetry_space_group_name_H-M 'P 4/m m m'
_symmetry_Int_Tables_number 123
_symmetry_space_group_name_Hall '-P 4 2'
_cell_length_a 5.550
_cell_length_b 5.550
_cell_length_c 3.763
_cell_angle_alpha 90.00
_cell_angle_beta 90.00
_cell_angle_gamma 90.00
loop_
_atom_site_label
_atom_site_type_symbol
_atom_site_fract_x
_atom_site_fract_y
_atom_site_fract_z
Si1 Si 0.000 0.000 0.000
Tc1 Tc 0.500 0.500 0.500
I1 I 0.000 0.500 0.500
N1 N 0.500 0.500 0.000
```


4.
Below is SiTcIN2 after structural relaxation, with properties calculated at the PBE level.

Output
The formation energy without anion corrections comes out at 1303 meV/atom.

Cell and atoms, written as CIF:
```
data_SiTcIN2
_chemical_formula_sum 'Si1 Tc1 I1 N2'
_symmetry_space_group_name_H-M 'P 4/m m m'
_symmetry_Int_Tables_number 123
_symmetry_space_group_name_Hall '-P 4 2'
_cell_length_a 3.619
_cell_length_b 3.619
_cell_length_c 6.949
_cell_angle_alpha 90.00
_cell_angle_beta 90.00
_cell_angle_gamma 90.00
loop_
_atom_site_label
_atom_site_type_symbol
_atom_site_fract_x
_atom_site_fract_y
_atom_site_fract_z
Si1 Si 0.000 0.000 0.000
Tc1 Tc 0.500 0.500 0.500
I1 I 0.000 0.000 0.500
N1 N 0.000 0.500 0.000
```


5.
Below is SiTcIN2 after structural relaxation, with properties calculated at the PBE level.

Output
The formation energy without anion corrections comes out at 1061 meV/atom.

Cell and atoms, written as CIF:
```
data_SiTcIN2
_chemical_formula_sum 'Si1 Tc1 I1 N2'
_symmetry_space_group_name_H-M 'P 4/m m m'
_symmetry_Int_Tables_number 123
_symmetry_space_group_name_Hall '-P 4 2'
_cell_length_a 3.942
_cell_length_b 3.942
_cell_length_c 5.601
_cell_angle_alpha 90.00
_cell_angle_beta 90.00
_cell_angle_gamma 90.00
loop_
_atom_site_label
_atom_site_type_symbol
_atom_site_fract_x
_atom_site_fract_y
_atom_site_fract_z
Si1 Si 0.000 0.000 0.000
Tc1 Tc 0.500 0.500 0.500
I1 I 0.500 0.500 0.000
N1 N 0.000 0.500 0.500
```


6.
Below is SiTcI2N after structural relaxation, with properties calculated at the PBE level.

Output
The formation energy without anion corrections comes out at 873 meV/atom.

Cell and atoms, written as CIF:
```
data_SiTcI2N
_chemical_formula_sum 'Si1 Tc1 I2 N1'
_symmetry_space_group_name_H-M 'P 4/m m m'
_symmetry_Int_Tables_number 123
_symmetry_space_group_name_Hall '-P 4 2'
_cell_length_a 5.773
_cell_length_b 5.773
_cell_length_c 3.354
_cell_angle_alpha 90.00
_cell_angle_beta 90.00
_cell_angle_gamma 90.00
loop_
_atom_site_label
_atom_site_type_symbol
_atom_site_fract_x
_atom_site_fract_y
_atom_site_fract_z
Si1 Si 0.000 0.000 0.000
Tc1 Tc 0.500 0.500 0.500
I1 I 0.000 0.500 0.000
N1 N 0.000 0.000 0.500
```


7.
Below is VSiIN2 after structural relaxation, with properties calculated at the PBE level.

Output
The formation energy without anion corrections comes out at 1114 meV/atom.

Cell and atoms, written as CIF:
```
data_VSiIN2
_chemical_formula_sum 'V1 Si1 I1 N2'
_symmetry_space_group_name_H-M 'P 4/m m m'
_symmetry_Int_Tables_number 123
_symmetry_space_group_name_Hall '-P 4 2'
_cell_length_a 3.590
_cell_length_b 3.590
_cell_length_c 6.314
_cell_angle_alpha 90.00
_cell_angle_beta 90.00
_cell_angle_gamma 90.00
loop_
_atom_site_label
_atom_site_type_symbol
_atom_site_fract_x
_atom_site_fract_y
_atom_site_fract_z
V1 V 0.000 0.000 0.000
Si1 Si 0.500 0.500 0.500
I1 I 0.500 0.500 0.000
N1 N 0.000 0.500 0.500
```


8.
Below is VSiIN2 after structural relaxation, with properties calculated at the PBE level.

Output
The formation energy without anion corrections comes out at 853 meV/atom.

Cell and atoms, written as CIF:
```
data_VSiIN2
_chemical_formula_sum 'V1 Si1 I1 N2'
_symmetry_space_group_name_H-M 'P 4/m m m'
_symmetry_Int_Tables_number 123
_symmetry_space_group_name_Hall '-P 4 2'
_cell_length_a 3.890
_cell_length_b 3.890
_cell_length_c 5.471
_cell_angle_alpha 90.00
_cell_angle_beta 90.00
_cell_angle_gamma 90.00
loop_
_atom_site_label
_atom_site_type_symbol
_atom_site_fract_x
_atom_site_fract_y
_atom_site_fract_z
V1 V 0.000 0.000 0.000
Si1 Si 0.500 0.500 0.500
I1 I 0.000 0.000 0.500
N1 N 0.000 0.500 0.000
```


9.
Below is SiWIN2 after structural relaxation, with properties calculated at the PBE level.

Output
The formation energy without anion corrections comes out at 917 meV/atom.

Cell and atoms, written as CIF:
```
data_SiWIN2
_chemical_formula_sum 'Si1 W1 I1 N2'
_symmetry_space_group_name_H-M 'P 4/m m m'
_symmetry_Int_Tables_number 123
_symmetry_space_group_name_Hall '-P 4 2'
_cell_length_a 3.995
_cell_length_b 3.995
_cell_length_c 5.676
_cell_angle_alpha 90.00
_cell_angle_beta 90.00
_cell_angle_gamma 90.00
loop_
_atom_site_label
_atom_site_type_symbol
_atom_site_fract_x
_atom_site_fract_y
_atom_site_fract_z
Si1 Si 0.000 0.000 0.000
W1 W 0.500 0.500 0.500
I1 I 0.500 0.500 0.000
N1 N 0.000 0.500 0.500
```


10.
Below is SiWIN2 after structural relaxation, with properties calculated at the PBE level.

Output
The formation energy without anion corrections comes out at 1710 meV/atom.

Cell and atoms, written as CIF:
```
data_SiWIN2
_chemical_formula_sum 'Si1 W1 I1 N2'
_symmetry_space_group_name_H-M 'P 4/m m m'
_symmetry_Int_Tables_number 123
_symmetry_space_group_name_Hall '-P 4 2'
_cell_length_a 3.662
_cell_length_b 3.662
_cell_length_c 6.926
_cell_angle_alpha 90.00
_cell_angle_beta 90.00
_cell_angle_gamma 90.00
loop_
_atom_site_label
_atom_site_type_symbol
_atom_site_fract_x
_atom_site_fract_y
_atom_site_fract_z
Si1 Si 0.000 0.000 0.000
W1 W 0.500 0.500 0.500
I1 I 0.000 0.000 0.500
N1 N 0.000 0.500 0.000
```


11.
Below is Zn2SiIN after structural relaxation, with properties calculated at the PBE level.

Output
The formation energy without anion corrections comes out at 2246 meV/atom.

Cell and atoms, written as CIF:
```
data_Zn2SiIN
_chemical_formula_sum 'Zn2 Si1 I1 N1'
_symmetry_space_group_name_H-M 'P 4/m m m'
_symmetry_Int_Tables_number 123
_symmetry_space_group_name_Hall '-P 4 2'
_cell_length_a 5.234
_cell_length_b 5.234
_cell_length_c 5.515
_cell_angle_alpha 90.00
_cell_angle_beta 90.00
_cell_angle_gamma 90.00
loop_
_atom_site_label
_atom_site_type_symbol
_atom_site_fract_x
_atom_site_fract_y
_atom_site_fract_z
Zn1 Zn 0.000 0.500 0.000
Si1 Si 0.000 0.000 0.500
I1 I 0.000 0.000 0.000
N1 N 0.500 0.500 0.500
```


12.
Below is ZrSiI2N after structural relaxation, with properties calculated at the PBE level.

Output
The formation energy without anion corrections comes out at 275 meV/atom.

Cell and atoms, written as CIF:
```
data_ZrSiI2N
_chemical_formula_sum 'Zr1 Si1 I2 N1'
_symmetry_space_group_name_H-M 'P 4/m m m'
_symmetry_Int_Tables_number 123
_symmetry_space_group_name_Hall '-P 4 2'
_cell_length_a 5.960
_cell_length_b 5.960
_cell_length_c 4.000
_cell_angle_alpha 90.00
_cell_angle_beta 90.00
_cell_angle_gamma 90.00
loop_
_atom_site_label
_atom_site_type_symbol
_atom_site_fract_x
_atom_site_fract_y
_atom_site_fract_z
Zr1 Zr 0.000 0.000 0.000
Si1 Si 0.500 0.500 0.500
I1 I 0.000 0.500 0.000
N1 N 0.000 0.000 0.500
```